[1]
Entry from Alexandria via LeMat-Bulk: a geometry-optimized BaYSn4O7 structure (PBE).

Output
Formation energy (no corrections)   -23.5 eV per formula unit
M_tot   0.0 μB/f.u.
N(E_F)   2.89 states/eV/f.u.
SG   No. 186

Lattice parameters (Å, degrees): 6.4637 6.4637 15.1667 90.00 90.00 120.00
Positions (direct):
Ba 0.6667 0.3333 0.4381
Ba 0.3333 0.6667 0.9381
Y 0.6667 0.3333 0.8752
Y 0.3333 0.6667 0.3752
Sn 0.8280 0.1720 0.2091
Sn 0.6561 0.8280 0.7091
Sn 0.1720 0.3439 0.7091
Sn 0.8280 0.6561 0.2091
Sn 0.3439 0.1720 0.2091
Sn 0.1720 0.8280 0.7091
Sn 0.0000 0.0000 0.4322
Sn 0.0000 0.0000 0.9322
O 0.8298 0.1702 0.9614
O 0.6596 0.8298 0.4614
O 0.1702 0.3404 0.4614
O 0.8298 0.6596 0.9614
O 0.3404 0.1702 0.9614
O 0.1702 0.8298 0.4614
O 0.0000 0.0000 0.7970
O 0.0000 0.0000 0.2970
O 0.5110 0.4890 0.2933
O 0.0219 0.5110 0.7933
O 0.4890 0.9781 0.7933
O 0.5110 0.0219 0.2933
O 0.4890 0.5110 0.7933
O 0.9781 0.4890 0.2933

=====

[2]
Entry from Alexandria via LeMat-Bulk: a geometry-optimized ZnSiAu2 structure (PBE).

Output
Formation energy (no corrections)   0.1 eV per formula unit
M_tot   0.0 μB/f.u.
N(E_F)   1.23 states/eV/f.u.
SG   No. 8

Lattice parameters (Å, degrees): 4.7562 4.7562 4.4854 80.04 80.04 42.90
Positions (direct):
Au 0.9937 0.9937 0.0492
Au 0.7545 0.7545 0.7057
Si 0.4958 0.4958 0.5282
Zn 0.2561 0.2561 0.2168

=====

[3]
Entry from Alexandria via LeMat-Bulk: a geometry-optimized TbPr2Zn2Ge2 structure (PBE).

Output
M_tot   0.9 μB/f.u.
N(E_F)   5.01 states/eV/f.u.
Formation energy   -0.49 eV per atom
SG   No. 166

Lattice parameters (Å, degrees): 4.1857 4.1857 11.7683 79.76 79.76 60.00
Positions (direct):
Tb 0.0000 0.0000 0.0000
Pr 0.1209 0.1209 0.6373
Pr 0.8791 0.8791 0.3627
Zn 0.6055 0.6055 0.1834
Zn 0.3945 0.3945 0.8166
Ge 0.7236 0.7236 0.8293
Ge 0.2764 0.2764 0.1707

=====

[4]
Entry from Alexandria via LeMat-Bulk: a geometry-optimized Cr4SbAs structure (PBE).

Output
Formation energy (no corrections)   2.5 eV per formula unit
M_tot   0.0 μB/f.u.
N(E_F)   8.30 states/eV/f.u.
SG   No. 216

Lattice parameters (Å, degrees): 4.9484 4.9484 4.9484 60.00 60.00 60.00
Positions (direct):
Cr 0.6263 0.6263 0.1211
Cr 0.6263 0.1211 0.6263
Cr 0.6263 0.6263 0.6263
Cr 0.1211 0.6263 0.6263
Sb 0.2500 0.2500 0.2500
As 0.0000 0.0000 0.0000

=====

[5]
Entry from Alexandria via LeMat-Bulk: a geometry-optimized AcNp2FeN4 structure (PBE).

Output
Formation energy (no corrections)   -8.2 eV per formula unit
M_tot   3.0 μB/f.u.
N(E_F)   9.13 states/eV/f.u.
SG   No. 63

Lattice parameters (Å, degrees): 3.5003 6.0864 11.4078 90.00 90.00 106.71
Positions (direct):
Ac 0.0990 0.1979 0.7500
Ac 0.9010 0.8021 0.2500
Np 0.3682 0.7364 0.5558
Np 0.6318 0.2636 0.0558
Np 0.6318 0.2636 0.4442
Np 0.3682 0.7364 0.9442
Fe 0.8340 0.6680 0.7500
Fe 0.1660 0.3320 0.2500
N 0.2621 0.5242 0.1084
N 0.7379 0.4758 0.6084
N 0.7379 0.4758 0.8916
N 0.2621 0.5242 0.3916
N 0.0000 0.0000 0.5000
N 0.0000 0.0000 0.0000
N 0.4296 0.8592 0.7500
N 0.5704 0.1408 0.2500

=====

[6]
Entry from Alexandria via LeMat-Bulk: a geometry-optimized Pm3YEr8 structure (PBE).

Output
M_tot   0.0 μB/f.u.
N(E_F)   16.52 states/eV/f.u.
Formation energy   0.30 eV per atom
SG   No. 71

Lattice parameters (Å, degrees): 8.6246 8.6246 8.6246 97.49 98.35 136.43
Positions (direct):
Pm 0.5000 0.7472 0.2472
Pm 0.5000 0.2528 0.7528
Pm 0.0000 0.5000 0.5000
Y 0.0000 0.0000 0.0000
Er 0.4986 0.2518 0.2469
Er 0.5014 0.7483 0.7533
Er 0.9950 0.7482 0.2467
Er 0.0050 0.2517 0.7531
Er 0.1696 0.2499 0.4189
Er 0.8304 0.2494 0.0804
Er 0.1690 0.7501 0.9196
Er 0.8310 0.7506 0.5811

=====

[7]
Entry from Alexandria via LeMat-Bulk: a geometry-optimized PmEr2UO8 structure (PBE).

Output
Formation energy (no corrections)   -39.3 eV per formula unit
M_tot   0.8 μB/f.u.
N(E_F)   4.25 states/eV/f.u.
SG   No. 47

Lattice parameters (Å, degrees): 3.8888 5.2934 7.5985 90.00 90.00 90.01
Positions (direct):
Pm 0.0000 0.0000 0.5000
Er 0.5000 0.5000 0.7584
Er 0.5000 0.5000 0.2416
U 0.0000 0.0000 0.0000
O 0.0001 0.7549 0.2247
O 0.5002 0.7657 0.0000
O 0.9999 0.2451 0.2247
O 0.9999 0.2451 0.7753
O 0.4998 0.2343 0.0000
O 0.0001 0.7549 0.7753
O 0.5000 0.7335 0.5000
O 0.5000 0.2665 0.5000

=====

[8]
Entry from Alexandria via LeMat-Bulk: a geometry-optimized Te6MoIr structure (PBE).

Output
Formation energy (no corrections)   -0.4 eV per formula unit
M_tot   0.0 μB/f.u.
N(E_F)   4.86 states/eV/f.u.
SG   No. 2

Lattice parameters (Å, degrees): 6.7327 6.7433 6.6860 59.43 59.45 59.93
Positions (direct):
Te 0.0603 0.4359 0.7367
Te 0.7599 0.0620 0.7440
Te 0.5658 0.2337 0.2636
Te 0.2401 0.9380 0.2560
Te 0.9397 0.5641 0.2633
Te 0.4342 0.7663 0.7364
Mo 0.5000 0.5000 0.5000
Ir 0.0000 0.0000 0.0000

=====

[9]
Entry from Alexandria via LeMat-Bulk: a geometry-optimized TcNiH3 structure (PBE).

Output
M_tot   0.0 μB/f.u.
N(E_F)   4.48 states/eV/f.u.
Polymorph energy (0 for the lowest one)   16.5 kJ per mole of atoms
SG   No. 221

Lattice parameters (Å, degrees): 3.3730 3.3730 3.3730 90.00 90.00 90.00
Positions (direct):
Ni 0.5000 0.5000 0.5000
Tc 0.0000 0.0000 0.0000
H 0.0000 0.5000 0.0000
H 0.0000 0.0000 0.5000
H 0.5000 0.0000 0.0000

=====

[10]
Entry from Alexandria via LeMat-Bulk: a geometry-optimized SmPa2BeN5 structure (PBE).

Output
Formation energy (no corrections)   -11.3 eV per formula unit
M_tot   0.0 μB/f.u.
SG   No. 36

Lattice parameters (Å, degrees): 3.3173 8.2829 8.9825 90.00 90.00 101.55
Positions (direct):
Sm 0.7856 0.5712 0.4941
Sm 0.2144 0.4288 0.9941
Pa 0.8995 0.7989 0.7963
Pa 0.0926 0.1852 0.6824
Pa 0.1005 0.2011 0.2963
Pa 0.9074 0.8148 0.1824
Be 0.5456 0.0912 0.9611
Be 0.4544 0.9088 0.4611
N 0.3637 0.7274 0.0194
N 0.6482 0.2965 0.8450
N 0.4930 0.9860 0.7892
N 0.3212 0.6425 0.6938
N 0.9690 0.9380 0.5426
N 0.6363 0.2726 0.5194
N 0.3518 0.7035 0.3450
N 0.5070 0.0140 0.2892
N 0.6788 0.3575 0.1938
N 0.0310 0.0620 0.0426

=====

[11]
Entry from Alexandria via LeMat-Bulk: a geometry-optimized CaTmPtRh structure (PBE).

Output
M_tot   0.0 μB/f.u.
N(E_F)   2.28 states/eV/f.u.
Formation energy   -0.91 eV per atom
Polymorph energy (0 for the lowest one)   0.0 kJ per mole of atoms
SG   No. 99

Lattice parameters (Å, degrees): 3.3966 3.3966 7.1057 90.00 90.00 90.00
Positions (direct):
Ca 0.0000 0.0000 0.8560
Tm 0.0000 0.0000 0.3596
Pt 0.5000 0.5000 0.1286
Rh 0.5000 0.5000 0.5837

=====

[12]
Entry from Alexandria via LeMat-Bulk: a geometry-optimized Lu2GaRh structure (PBE).

Output
M_tot   0.0 μB/f.u.
N(E_F)   1.54 states/eV/f.u.
Formation energy   -0.57 eV per atom
Polymorph energy (0 for the lowest one)   23.0 kJ per mole of atoms
SG   No. 166

Lattice parameters (Å, degrees): 3.6689 3.6689 8.0712 76.86 76.86 60.00
Positions (direct):
Lu 0.2601 0.2601 0.2198
Lu 0.7399 0.7399 0.7802
Rh 0.0000 0.0000 0.0000
Ga 0.5000 0.5000 0.5000

=====

[13]
Entry from Alexandria via LeMat-Bulk: a geometry-optimized MnGePtAu structure (PBE).

Output
M_tot   4.5 μB/f.u.
N(E_F)   2.57 states/eV/f.u.
Formation energy   -0.11 eV per atom
SG   No. 216

Lattice parameters (Å, degrees): 4.5328 4.5328 4.5328 60.00 60.00 60.00
Positions (direct):
Ge 0.2500 0.2500 0.2500
Mn 0.7500 0.7500 0.7500
Au 0.0000 0.0000 0.0000
Pt 0.5000 0.5000 0.5000

=====

[14]
Entry from Alexandria via LeMat-Bulk: a geometry-optimized Tl3CdGa3 structure (PBE).

Output
M_tot   0.0 μB/f.u.
N(E_F)   4.29 states/eV/f.u.
Formation energy   0.42 eV per atom
SG   No. 223

Lattice parameters (Å, degrees): 7.9189 7.9189 7.9189 90.00 90.00 90.00
Positions (direct):
Tl 0.2500 0.0000 0.5000
Tl 0.0000 0.5000 0.2500
Tl 0.5000 0.7500 0.0000
Tl 0.7500 0.0000 0.5000
Tl 0.0000 0.5000 0.7500
Tl 0.5000 0.2500 0.0000
Ga 0.0000 0.2500 0.5000
Ga 0.0000 0.7500 0.5000
Ga 0.5000 0.0000 0.7500
Ga 0.7500 0.5000 0.0000
Ga 0.5000 0.0000 0.2500
Ga 0.2500 0.5000 0.0000
Cd 0.5000 0.5000 0.5000
Cd 0.0000 0.0000 0.0000

=====

[15]
Entry from Alexandria via LeMat-Bulk: a geometry-optimized Ni2RuSe structure (PBE).

Output
Formation energy (no corrections)   0.9 eV per formula unit
M_tot   0.0 μB/f.u.
N(E_F)   3.81 states/eV/f.u.
SG   No. 25

Lattice parameters (Å, degrees): 4.0910 2.9257 4.4136 90.00 90.00 90.00
Positions (direct):
Ni 0.0000 0.1252 0.9712
Ni 0.5000 0.1252 0.2829
Ru 0.0000 0.6252 0.4592
Se 0.5000 0.6244 0.7868

=====

[16]
Entry from Alexandria via LeMat-Bulk: a geometry-optimized MgP3H structure (PBE).

Output
M_tot   0.0 μB/f.u.
N(E_F)   2.95 states/eV/f.u.
Polymorph energy (0 for the lowest one)   0.0 kJ per mole of atoms
SG   No. 221

Lattice parameters (Å, degrees): 4.0643 4.0643 4.0643 90.00 90.00 90.00
Positions (direct):
P 0.0000 0.5000 0.0000
P 0.0000 0.0000 0.5000
P 0.5000 0.0000 0.0000
Mg 0.5000 0.5000 0.5000
H 0.0000 0.0000 0.0000

=====

[17]
Entry from Alexandria via LeMat-Bulk: a geometry-optimized Pm3GaSi2Ni6 structure (PBE).

Output
Formation energy (no corrections)   -4.2 eV per formula unit
M_tot   0.0 μB/f.u.
N(E_F)   8.15 states/eV/f.u.
SG   No. 164

Lattice parameters (Å, degrees): 5.4778 5.4778 8.1083 90.00 90.00 120.00
Positions (direct):
Pm 0.3333 0.6667 0.6688
Pm 0.6667 0.3333 0.3312
Pm 0.0000 0.0000 0.0000
Ga 0.0000 0.0000 0.5000
Si 0.6667 0.3333 0.9308
Si 0.3333 0.6667 0.0692
Ni 0.6409 0.8205 0.2931
Ni 0.1795 0.3591 0.2931
Ni 0.1795 0.8205 0.2931
Ni 0.8205 0.6409 0.7069
Ni 0.3591 0.1795 0.7069
Ni 0.8205 0.1795 0.7069

=====

[18]
Entry from Alexandria via LeMat-Bulk: a geometry-optimized ScTlP2Cl structure (PBE).

Output
Formation energy (no corrections)   2.7 eV per formula unit
M_tot   0.0 μB/f.u.
N(E_F)   3.26 states/eV/f.u.
Polymorph energy (0 for the lowest one)   79.9 kJ per mole of atoms
SG   No. 123

Lattice parameters (Å, degrees): 5.0464 5.0464 5.2065 90.00 90.00 90.00
Positions (direct):
Sc 0.5000 0.5000 0.5000
P 0.0000 0.5000 0.0000
P 0.5000 0.0000 0.0000
Tl 0.0000 0.0000 0.0000
Cl 0.0000 0.0000 0.5000

=====

[19]
Entry from Alexandria via LeMat-Bulk: a geometry-optimized CeEr2Cd4 structure (PBE).

Output
M_tot   1.1 μB/f.u.
N(E_F)   10.69 states/eV/f.u.
Formation energy   -0.06 eV per atom
SG   No. 123

Lattice parameters (Å, degrees): 5.2638 5.2638 7.1784 90.00 90.00 90.00
Positions (direct):
Cd 0.5000 0.0000 0.2730
Cd 0.0000 0.5000 0.7270
Cd 0.5000 0.0000 0.7270
Cd 0.0000 0.5000 0.2730
Ce 0.5000 0.5000 0.0000
Er 0.0000 0.0000 0.0000
Er 0.5000 0.5000 0.5000

=====

[20]
Entry from Alexandria via LeMat-Bulk: a geometry-optimized Ga2CuRu structure (PBE).

Output
M_tot   0.1 μB/f.u.
N(E_F)   3.67 states/eV/f.u.
Formation energy   0.17 eV per atom
SG   No. 122

Lattice parameters (Å, degrees): 6.7033 6.7033 5.4615 52.14 52.14 90.00
Positions (direct):
Ru 0.0000 0.0000 0.0000
Ru 0.7500 0.2500 0.5000
Cu 0.5000 0.5000 0.0000
Cu 0.2500 0.7500 0.5000
Ga 0.6133 0.1250 0.2500
Ga 0.1367 0.6250 0.2500
Ga 0.3750 0.3867 0.7500
Ga 0.8750 0.8633 0.7500

=====

[21]
Entry from Alexandria via LeMat-Bulk: a geometry-optimized Fe2CuW structure (PBE).

Output
M_tot   4.3 μB/f.u.
N(E_F)   2.95 states/eV/f.u.
Formation energy   0.32 eV per atom
Polymorph energy (0 for the lowest one)   14.4 kJ per mole of atoms
SG   No. 166

Lattice parameters (Å, degrees): 8.9352 8.9352 8.9352 16.94 16.94 16.94
Positions (direct):
Cu 0.7500 0.7500 0.7500
Fe 0.0039 0.0039 0.0039
Fe 0.4961 0.4961 0.4961
W 0.2500 0.2500 0.2500

=====

[22]
Entry from Alexandria via LeMat-Bulk: a geometry-optimized Sr2InPd2 structure (PBE).

Output
M_tot   0.0 μB/f.u.
N(E_F)   2.37 states/eV/f.u.
Formation energy   -0.46 eV per atom
SG   No. 139

Lattice parameters (Å, degrees): 5.9739 5.9739 5.8504 59.30 59.30 90.00
Positions (direct):
Sr 0.7500 0.2500 0.5000
Sr 0.2500 0.7500 0.5000
Pd 0.3337 0.3337 0.3327
Pd 0.6663 0.6663 0.6673
In 0.0000 0.0000 0.0000

=====

[23]
Entry from Alexandria via LeMat-Bulk: a geometry-optimized Ta2CuNi structure (PBE).

Output
M_tot   0.0 μB/f.u.
N(E_F)   3.44 states/eV/f.u.
Formation energy   0.19 eV per atom
Polymorph energy (0 for the lowest one)   24.5 kJ per mole of atoms
SG   No. 166

Lattice parameters (Å, degrees): 9.1333 9.1333 9.1333 17.63 17.63 17.63
Positions (direct):
Cu 0.2500 0.2500 0.2500
Ni 0.7500 0.7500 0.7500
Ta 0.0022 0.0022 0.0022
Ta 0.4978 0.4978 0.4978

=====

[24]
Entry from Alexandria via LeMat-Bulk: a geometry-optimized CaAgW2 structure (PBE).

Output
M_tot   0.0 μB/f.u.
N(E_F)   5.45 states/eV/f.u.
Formation energy   0.85 eV per atom
Polymorph energy (0 for the lowest one)   35.0 kJ per mole of atoms
SG   No. 123

Lattice parameters (Å, degrees): 2.7336 2.7336 9.8569 90.00 90.00 90.00
Positions (direct):
Ca 0.5000 0.5000 0.7500
Ag 0.5000 0.5000 0.2500
W 0.0000 0.0000 0.0176
W 0.0000 0.0000 0.4824